Record 1
{"formula": "BC", "functional": "PBE", "state": "optimized geometry", "total_magnetization_mub_per_fu": 0.00, "formation_energy_ev_per_fu": 0.8, "space_group": "No. 8", "mass_density_g_cm3": 2.8, "total_energy_ev_per_cell": -90.393, "lattice": [[3.798, -0.113, -2.226], [2.970, 2.369, -2.226], [-0.099, -0.033, 8.615]], "species": ["B", "B", "B", "B", "B", "B", "C", "C", "C", "C", "C", "C"], "frac_coords": [[0.849, 0.849, 0.082], [0.987, 0.987, 0.971], [0.696, 0.696, 0.844], [0.697, 0.697, 0.328], [0.469, 0.469, 0.396], [0.167, 0.167, 0.688], [0.821, 0.821, 0.552], [0.508, 0.508, 0.862], [0.338, 0.338, 0.659], [0.162, 0.162, 0.201], [0.970, 0.970, 0.493], [0.336, 0.336, 0.175]]}



Record 2
{"formula": "BC", "functional": "PBE", "state": "optimized geometry", "total_magnetization_mub_per_fu": 0.00, "formation_energy_ev_per_fu": 0.7, "space_group": "No. 1", "mass_density_g_cm3": 2.8, "total_energy_ev_per_cell": -90.926, "lattice": [[4.465, -0.005, -1.267], [2.852, 3.399, -1.218], [0.091, 0.118, 5.378]], "species": ["C", "C", "C", "C", "C", "C", "B", "B", "B", "B", "B", "B"], "frac_coords": [[0.014, 0.000, 0.520], [0.262, 0.755, 0.751], [0.590, 0.053, 0.916], [0.894, 0.425, 0.076], [0.656, 0.673, 0.837], [0.674, 0.668, 0.315], [0.888, 0.423, 0.571], [0.318, 0.379, 0.725], [0.299, 0.712, 0.307], [0.291, 0.348, 0.125], [0.645, 0.045, 0.386], [0.968, 0.018, 0.972]]}



Record 3
{"formula": "BC", "functional": "PBE", "state": "optimized geometry", "total_magnetization_mub_per_fu": 0.00, "formation_energy_ev_per_fu": 0.8, "space_group": "No. 8", "mass_density_g_cm3": 2.7, "total_energy_ev_per_cell": -90.692, "lattice": [[4.152, 0.985, -5.487], [3.523, -4.390, -4.918], [-5.586, 3.224, 3.778]], "species": ["C", "C", "C", "C", "C", "C", "B", "B", "B", "B", "B", "B"], "frac_coords": [[0.605, 0.624, 0.981], [0.510, 0.843, 0.667], [0.500, 0.505, 0.994], [0.020, 0.335, 0.686], [0.133, 0.799, 0.335], [0.151, 0.449, 0.702], [0.973, 0.678, 0.295], [0.661, 0.325, 0.336], [0.649, 0.972, 0.678], [0.058, 0.993, 0.065], [0.440, 0.125, 0.316], [0.050, 0.104, 0.947]]}



Record 4
{"formula": "BC", "functional": "PBE", "state": "optimized geometry", "total_magnetization_mub_per_fu": 0.00, "formation_energy_ev_per_fu": 0.7, "space_group": "No. 25", "mass_density_g_cm3": 2.8, "total_energy_ev_per_cell": -91.185, "lattice": [[-1.663, -1.880, 0.670], [1.818, -1.275, 0.934], [-1.849, 5.685, 11.356]], "species": ["B", "B", "B", "B", "B", "B", "C", "C", "C", "C", "C", "C"], "frac_coords": [[0.000, 0.000, 0.657], [0.500, 0.500, 0.822], [0.500, 0.500, 0.494], [0.500, 0.000, 0.930], [0.500, 0.000, 0.266], [0.500, 0.500, 0.158], [0.000, 0.000, 0.345], [0.500, 0.000, 0.582], [0.000, 0.000, 0.011], [0.000, 0.500, 0.748], [0.000, 0.500, 0.078], [0.000, 0.500, 0.411]]}



Record 5
{"formula": "B7C5", "functional": "PBE", "state": "optimized geometry", "total_magnetization_mub_per_fu": 0.00, "formation_energy_ev_per_fu": 4.6, "space_group": "No. 6", "mass_density_g_cm3": 2.8, "total_energy_ev_per_cell": -88.297, "lattice": [[-1.498, -0.976, 1.816], [-1.639, -3.536, -3.252], [5.118, -2.458, 2.901]], "species": ["C", "C", "C", "C", "C", "B", "B", "B", "B", "B", "B", "B"], "frac_coords": [[0.000, 0.672, 0.907], [0.500, 0.123, 0.676], [0.500, 0.811, 0.573], [0.000, 0.028, 0.294], [0.500, 0.571, 0.992], [0.000, 0.239, 0.566], [0.000, 0.007, 0.036], [0.000, 0.640, 0.639], [0.000, 0.362, 0.345], [0.500, 0.207, 0.933], [0.500, 0.481, 0.206], [0.500, 0.858, 0.333]]}



Record 6
{"formula": "BC", "functional": "PBE", "state": "optimized geometry", "total_magnetization_mub_per_fu": 0.00, "formation_energy_ev_per_fu": 0.8, "space_group": "No. 8", "mass_density_g_cm3": 2.9, "total_energy_ev_per_cell": -90.440, "lattice": [[-6.830, -1.597, 0.089], [-4.193, -6.022, 1.024], [4.861, 5.412, 1.409]], "species": ["B", "B", "B", "B", "B", "B", "C", "C", "C", "C", "C", "C"], "frac_coords": [[0.521, 0.269, 0.252], [0.121, 0.782, 0.339], [0.547, 0.850, 0.697], [0.497, 0.144, 0.353], [0.126, 0.140, 0.985], [0.960, 0.345, 0.615], [0.628, 0.613, 0.015], [0.656, 0.967, 0.689], [0.046, 0.008, 0.038], [0.980, 0.666, 0.314], [0.523, 0.500, 0.023], [0.145, 0.466, 0.679]]}



Record 7
{"formula": "B7C5", "functional": "PBE", "state": "optimized geometry", "total_magnetization_mub_per_fu": 0.00, "formation_energy_ev_per_fu": 2.0, "space_group": "No. 6", "mass_density_g_cm3": 2.1, "total_energy_ev_per_cell": -90.889, "lattice": [[2.701, 0.000, 0.000], [0.000, 4.647, -0.005], [0.000, 0.015, 8.619]], "species": ["B", "B", "B", "B", "B", "B", "B", "C", "C", "C", "C", "C"], "frac_coords": [[0.000, 0.951, 0.359], [0.500, 0.420, 0.804], [0.500, 0.091, 0.104], [0.500, 0.184, 0.573], [0.000, 0.684, 0.594], [0.000, 0.511, 0.062], [0.500, 0.671, 0.153], [0.000, 0.168, 0.028], [0.000, 0.018, 0.541], [0.500, 0.917, 0.270], [0.500, 0.519, 0.625], [0.000, 0.366, 0.888]]}



Record 8
{"formula": "BC", "functional": "PBE", "state": "optimized geometry", "total_magnetization_mub_per_fu": 0.00, "formation_energy_ev_per_fu": 0.7, "space_group": "No. 8", "mass_density_g_cm3": 2.7, "total_energy_ev_per_cell": -91.096, "lattice": [[-4.402, 0.124, -5.453], [-3.170, -5.088, -5.001], [1.811, 3.498, 6.741]], "species": ["B", "B", "B", "B", "B", "B", "C", "C", "C", "C", "C", "C"], "frac_coords": [[0.970, 0.638, 0.332], [0.931, 0.003, 0.928], [0.517, 0.168, 0.350], [0.085, 0.314, 0.770], [0.582, 0.811, 0.771], [0.478, 0.952, 0.526], [0.601, 0.619, 0.982], [0.716, 0.292, 0.424], [0.413, 0.508, 0.905], [0.067, 0.487, 0.580], [0.277, 0.833, 0.445], [0.112, 0.126, 0.986]]}



Record 9
{"formula": "B7C5", "functional": "PBE", "state": "optimized geometry", "total_magnetization_mub_per_fu": 0.00, "formation_energy_ev_per_fu": 5.4, "space_group": "No. 8", "mass_density_g_cm3": 2.6, "total_energy_ev_per_cell": -87.417, "lattice": [[-1.485, 4.531, -1.302], [2.573, -2.775, -3.178], [-3.873, -2.123, -0.110]], "species": ["B", "B", "B", "B", "B", "B", "B", "C", "C", "C", "C", "C"], "frac_coords": [[0.255, 0.456, 0.687], [0.120, 0.869, 0.481], [0.750, 0.352, 0.018], [0.352, 0.750, 0.018], [0.456, 0.255, 0.687], [0.335, 0.335, 0.067], [0.869, 0.120, 0.481], [0.979, 0.979, 0.985], [0.515, 0.515, 0.467], [0.736, 0.055, 0.120], [0.829, 0.829, 0.618], [0.055, 0.736, 0.120]]}



Record 10
{"formula": "BC", "functional": "PBE", "state": "optimized geometry", "total_magnetization_mub_per_fu": 0.00, "formation_energy_ev_per_fu": 0.9, "space_group": "No. 164", "mass_density_g_cm3": 2.8, "total_energy_ev_per_cell": -90.128, "lattice": [[2.552, 0.000, 0.000], [-1.276, 2.210, 0.000], [0.000, 0.000, 14.250]], "species": ["B", "B", "B", "B", "B", "B", "C", "C", "C", "C", "C", "C"], "frac_coords": [[0.667, 0.333, 0.306], [0.000, 0.000, 0.502], [0.667, 0.333, 0.706], [0.000, 0.000, 0.383], [0.667, 0.333, 0.825], [0.000, 0.000, 0.903], [0.333, 0.667, 0.654], [0.333, 0.667, 0.050], [0.000, 0.000, 0.013], [0.333, 0.667, 0.158], [0.333, 0.667, 0.555], [0.667, 0.333, 0.195]]}



Record 11
{"formula": "B7C5", "functional": "PBE", "state": "optimized geometry", "total_magnetization_mub_per_fu": 0.00, "formation_energy_ev_per_fu": 4.9, "space_group": "No. 8", "mass_density_g_cm3": 2.7, "total_energy_ev_per_cell": -87.973, "lattice": [[4.170, -0.025, -5.376], [-0.562, 2.586, -6.653], [0.390, -0.012, 7.149]], "species": ["B", "B", "B", "B", "B", "B", "B", "C", "C", "C", "C", "C"], "frac_coords": [[0.194, 0.810, 0.385], [0.162, 0.126, 0.036], [0.984, 0.671, 0.313], [0.578, 0.833, 0.744], [0.982, 0.343, 0.638], [0.946, 0.969, 0.977], [0.542, 0.950, 0.592], [0.125, 0.471, 0.654], [0.517, 0.164, 0.352], [0.464, 0.506, 0.958], [0.632, 0.282, 0.351], [0.625, 0.625, 0.999]]}



Record 12
{"formula": "BC", "functional": "PBE", "state": "optimized geometry", "total_magnetization_mub_per_fu": 0.00, "formation_energy_ev_per_fu": 0.8, "space_group": "No. 160", "mass_density_g_cm3": 2.9, "total_energy_ev_per_cell": -75.667, "lattice": [[2.690, 0.086, 11.460], [1.400, 2.299, 11.460], [0.148, 0.086, 11.771]], "species": ["C", "C", "C", "C", "C", "B", "B", "B", "B", "B"], "frac_coords": [[0.549, 0.549, 0.549], [0.201, 0.201, 0.201], [0.350, 0.350, 0.350], [0.003, 0.003, 0.003], [0.749, 0.749, 0.749], [0.793, 0.793, 0.793], [0.156, 0.156, 0.156], [0.397, 0.397, 0.397], [0.957, 0.957, 0.957], [0.595, 0.595, 0.595]]}



no.,energy above the most stable polymorph in this dataset (kJ/mol of formula units)
1,52
2,43
3,47
4,39
5,250
6,51
7,0
8,40
9,335
10,56
11,281
12,45